Ca2Mn2Ru PBE optimized geometry; energy of formation = 37.74 kJ per mole of atoms; Fermi-level density of states = 0.68 states/eV/atom; total DFT energy (no corrections) = -59.32 eV per cell; crystal system = tetragonal
1.0
6.2056 0.0000 0.0000
0.0000 6.2056 0.0000
0.0000 0.0000 4.9285
Ca Mn Ru
4 4 2
Direct
0.1849 0.3151 0.0000
0.3151 0.8151 0.0000
0.6849 0.1849 0.0000
0.8151 0.6849 0.0000
0.1209 0.6209 0.5000
0.3791 0.1209 0.5000
0.6209 0.8791 0.5000
0.8791 0.3791 0.5000
0.0000 0.0000 0.5000
0.5000 0.5000 0.5000